Entry 1:
AcLaCuBi | PBE | relaxed

M_tot = 0.0 μB per formula unit
Volume = 123.17 Å³ per cell
Formation energy from the elements = -0.3838 eV per atom

Lattice parameters (Å, degrees): 5.5848 5.5848 5.5848 60.00 60.00 60.00
Element x y z (fractional)
Ac 0.0000 0.0000 0.0000
La 0.5000 0.5000 0.5000
Cu 0.2500 0.2500 0.2500
Bi 0.7500 0.7500 0.7500

Entry 2:
LiAcCuBi | PBE | relaxed

M_tot = 0.0 μB per formula unit
Volume = 110.70 Å³ per cell
Formation energy from the elements = -0.3018 eV per atom

Lattice parameters (Å, degrees): 5.3896 5.3896 5.3896 60.00 60.00 60.00
Element x y z (fractional)
Li 0.0000 0.0000 0.0000
Ac 0.5000 0.5000 0.5000
Cu 0.7500 0.7500 0.7500
Bi 0.2500 0.2500 0.2500

Entry 3:
NaAcCuBi | PBE | relaxed

M_tot = 0.0 μB per formula unit
Volume = 118.21 Å³ per cell
Formation energy from the elements = -0.2861 eV per atom

Lattice parameters (Å, degrees): 5.5088 5.5088 5.5088 60.00 60.00 60.00
Element x y z (fractional)
Na 0.0000 0.0000 0.0000
Ac 0.5000 0.5000 0.5000
Cu 0.7500 0.7500 0.7500
Bi 0.2500 0.2500 0.2500

- Which value of M_tot does entry 3 give?
  0.0 μB per formula unit

- Look up the volume of the first one.
  123.17 Å³ per cell

- Which value of volume does entry 2 give?
  110.70 Å³ per cell